(1)
## Pr4Dy3Th (PBE)

Data for an optimized crystal structure of Pr4Dy3Th.

```
data_Pr4Dy3Th
_chemical_formula_sum 'Pr8 Dy6 Th2'
_space_group_name_H-M_alt 'C 1 2/m 1'
_space_group_IT_number 12
_space_group_name_Hall '-C 2y'
_cell_length_a 23.831
_cell_length_b 3.486
_cell_length_c 6.902
_cell_angle_alpha 90.00
_cell_angle_beta 106.55
_cell_angle_gamma 90.00
loop_
_atom_site_label
_atom_site_type_symbol
_atom_site_fract_x
_atom_site_fract_y
_atom_site_fract_z
_atom_site_occupancy
Pr1 Pr 0.121 0.000 0.362 1
Pr2 Pr 0.242 0.500 0.234 1
Dy1 Dy 0.000 0.000 0.500 1
Dy2 Dy 0.121 0.000 0.883 1
Th1 Th 0.000 0.500 0.000 1
```

Results
As for the energy of formation from the pure elements: 168 meV/atom.

(2)
## PtSe2F (PBE)

Data for an optimized crystal structure of PtSe2F.

```
data_PtSe2F
_chemical_formula_sum 'Pt4 Se8 F4'
_space_group_name_H-M_alt 'F m -3 m'
_space_group_IT_number 225
_space_group_name_Hall '-F 4 2 3'
_cell_length_a 6.255
_cell_length_b 6.255
_cell_length_c 6.255
_cell_angle_alpha 90.00
_cell_angle_beta 90.00
_cell_angle_gamma 90.00
loop_
_atom_site_label
_atom_site_type_symbol
_atom_site_fract_x
_atom_site_fract_y
_atom_site_fract_z
_atom_site_occupancy
Pt1 Pt 0.000 0.000 0.000 1
Se1 Se 0.250 0.250 0.250 1
F1 F 0.000 0.000 0.500 1
```

Results
The calculation puts the offset from the most stable computed form at 0.356 eV per atom.

(3)
## Zn3Ga12Ge5 (PBE)

Data for an optimized crystal structure of Zn3Ga12Ge5.

```
data_Zn3Ga12Ge5
_chemical_formula_sum 'Zn24 Ga96 Ge40'
_space_group_name_H-M_alt 'I a -3 d'
_space_group_IT_number 230
_space_group_name_Hall '-I 4bd 2c 3'
_cell_length_a 15.006
_cell_length_b 15.006
_cell_length_c 15.006
_cell_angle_alpha 90.00
_cell_angle_beta 90.00
_cell_angle_gamma 90.00
loop_
_atom_site_label
_atom_site_type_symbol
_atom_site_fract_x
_atom_site_fract_y
_atom_site_fract_z
_atom_site_occupancy
Zn1 Zn 0.000 0.250 0.125 1
Ga1 Ga 0.024 0.086 0.651 1
Ge1 Ge 0.000 0.000 0.000 1
Ge2 Ge 0.000 0.250 0.375 1
```

Results
As for the energy of formation from the pure elements: 108 meV/atom.

(4)
## ZrFe22B6 (PBE)

Data for an optimized crystal structure of ZrFe22B6.

```
data_ZrFe22B6
_chemical_formula_sum 'Zr4 Fe88 B24'
_space_group_name_H-M_alt 'F m -3 m'
_space_group_IT_number 225
_space_group_name_Hall '-F 4 2 3'
_cell_length_a 10.670
_cell_length_b 10.670
_cell_length_c 10.670
_cell_angle_alpha 90.00
_cell_angle_beta 90.00
_cell_angle_gamma 90.00
loop_
_atom_site_label
_atom_site_type_symbol
_atom_site_fract_x
_atom_site_fract_y
_atom_site_fract_z
_atom_site_occupancy
Zr1 Zr 0.000 0.000 0.000 1
Fe1 Fe 0.000 0.175 0.175 1
Fe2 Fe 0.118 0.118 0.382 1
Fe3 Fe 0.250 0.250 0.250 1
B1 B 0.000 0.000 0.272 1
```

Results
As for the energy of formation from the pure elements: -183 meV/atom.

(5)
## BeTlCrPt2 (PBE)

Data for an optimized crystal structure of BeTlCrPt2.

```
data_BeTlCrPt2
_chemical_formula_sum 'Be1 Tl1 Cr1 Pt2'
_space_group_name_H-M_alt 'P 4/m m m'
_space_group_IT_number 123
_space_group_name_Hall '-P 4 2'
_cell_length_a 5.084
_cell_length_b 5.084
_cell_length_c 4.366
_cell_angle_alpha 90.00
_cell_angle_beta 90.00
_cell_angle_gamma 90.00
loop_
_atom_site_label
_atom_site_type_symbol
_atom_site_fract_x
_atom_site_fract_y
_atom_site_fract_z
_atom_site_occupancy
Be1 Be 0.000 0.000 0.000 1
Tl1 Tl 0.000 0.000 0.500 1
Cr1 Cr 0.500 0.500 0.000 1
Pt1 Pt 0.000 0.500 0.500 1
```

Results
As for the energy of formation from the pure elements: 1310 meV/atom.

(6)
## CaTl2GaBi2 (PBE)

Data for an optimized crystal structure of CaTl2GaBi2.

```
data_CaTl2GaBi2
_chemical_formula_sum 'Ca2 Tl4 Ga2 Bi4'
_space_group_name_H-M_alt 'P m c 21'
_space_group_IT_number 26
_space_group_name_Hall 'P 2c -2'
_cell_length_a 4.841
_cell_length_b 10.263
_cell_length_c 7.589
_cell_angle_alpha 90.00
_cell_angle_beta 90.00
_cell_angle_gamma 90.00
loop_
_atom_site_label
_atom_site_type_symbol
_atom_site_fract_x
_atom_site_fract_y
_atom_site_fract_z
_atom_site_occupancy
Ca1 Ca 0.000 0.037 0.000 1
Tl1 Tl 0.000 0.350 0.330 1
Tl2 Tl 0.500 0.444 0.045 1
Ga1 Ga 0.500 0.160 0.675 1
Bi1 Bi 0.000 0.308 0.758 1
Bi2 Bi 0.500 0.119 0.276 1
```

Results
As for the energy of formation from the pure elements: -244 meV/atom.

(7)
## La3Al7Pt4 (PBE)

Data for an optimized crystal structure of La3Al7Pt4.

```
data_La3Al7Pt4
_chemical_formula_sum 'La6 Al14 Pt8'
_space_group_name_H-M_alt 'C 1 2/m 1'
_space_group_IT_number 12
_space_group_name_Hall '-C 2y'
_cell_length_a 16.027
_cell_length_b 4.359
_cell_length_c 9.624
_cell_angle_alpha 90.00
_cell_angle_beta 124.30
_cell_angle_gamma 90.00
loop_
_atom_site_label
_atom_site_type_symbol
_atom_site_fract_x
_atom_site_fract_y
_atom_site_fract_z
_atom_site_occupancy
La1 La 0.000 0.000 0.000 1
La2 La 0.190 0.500 0.695 1
Al1 Al 0.000 0.000 0.500 1
Al2 Al 0.004 0.500 0.293 1
Al3 Al 0.158 0.000 0.428 1
Al4 Al 0.180 0.500 0.026 1
Pt1 Pt 0.119 0.000 0.848 1
Pt2 Pt 0.158 0.500 0.283 1
```

Results
As for the energy of formation from the pure elements: -968 meV/atom.

(8)
## NaAc4Sn2 (PBE)

Data for an optimized crystal structure of NaAc4Sn2.

```
data_NaAc4Sn2
_chemical_formula_sum 'Na2 Ac8 Sn4'
_space_group_name_H-M_alt 'P 1 21/m 1'
_space_group_IT_number 11
_space_group_name_Hall '-P 2yb'
_cell_length_a 8.375
_cell_length_b 7.284
_cell_length_c 9.545
_cell_angle_alpha 90.00
_cell_angle_beta 113.71
_cell_angle_gamma 90.00
loop_
_atom_site_label
_atom_site_type_symbol
_atom_site_fract_x
_atom_site_fract_y
_atom_site_fract_z
_atom_site_occupancy
Na1 Na 0.072 0.250 0.314 1
Ac1 Ac 0.172 0.750 0.119 1
Ac2 Ac 0.317 0.006 0.776 1
Ac3 Ac 0.497 0.250 0.471 1
Sn1 Sn 0.082 0.750 0.433 1
Sn2 Sn 0.279 0.250 0.080 1
```

Results
As for the energy of formation from the pure elements: -257 meV/atom.

(9)
## NpCdCu (PBE)

Data for an optimized crystal structure of NpCdCu.

```
data_NpCdCu
_chemical_formula_sum 'Np8 Cd8 Cu8'
_space_group_name_H-M_alt 'F m m m'
_space_group_IT_number 69
_space_group_name_Hall '-F 2 2'
_cell_length_a 5.360
_cell_length_b 7.582
_cell_length_c 11.958
_cell_angle_alpha 90.00
_cell_angle_beta 90.00
_cell_angle_gamma 90.00
loop_
_atom_site_label
_atom_site_type_symbol
_atom_site_fract_x
_atom_site_fract_y
_atom_site_fract_z
_atom_site_occupancy
Np1 Np 0.000 0.169 0.000 1
Cd1 Cd 0.250 0.250 0.250 1
Cu1 Cu 0.000 0.000 0.392 1
```

Results
As for the energy of formation from the pure elements: 278 meV/atom.

(10)
## Ag2WCl (PBE)

Data for an optimized crystal structure of Ag2WCl.

```
data_Ag2WCl
_chemical_formula_sum 'Ag8 W4 Cl4'
_space_group_name_H-M_alt 'F m -3 m'
_space_group_IT_number 225
_space_group_name_Hall '-F 4 2 3'
_cell_length_a 6.762
_cell_length_b 6.762
_cell_length_c 6.762
_cell_angle_alpha 90.00
_cell_angle_beta 90.00
_cell_angle_gamma 90.00
loop_
_atom_site_label
_atom_site_type_symbol
_atom_site_fract_x
_atom_site_fract_y
_atom_site_fract_z
_atom_site_occupancy
Ag1 Ag 0.250 0.250 0.250 1
W1 W 0.000 0.000 0.000 1
Cl1 Cl 0.000 0.000 0.500 1
```

Results
The calculation puts the offset from the most stable computed form at 0.995 eV per atom.

(11)
## BiMoIN2 (PBE)

Data for an optimized crystal structure of BiMoIN2.

```
data_BiMoIN2
_chemical_formula_sum 'Bi1 Mo1 I1 N2'
_space_group_name_H-M_alt 'P 4/m m m'
_space_group_IT_number 123
_space_group_name_Hall '-P 4 2'
_cell_length_a 4.325
_cell_length_b 4.325
_cell_length_c 7.102
_cell_angle_alpha 90.00
_cell_angle_beta 90.00
_cell_angle_gamma 90.00
loop_
_atom_site_label
_atom_site_type_symbol
_atom_site_fract_x
_atom_site_fract_y
_atom_site_fract_z
_atom_site_occupancy
Bi1 Bi 0.000 0.000 0.000 1
Mo1 Mo 0.500 0.500 0.500 1
I1 I 0.000 0.000 0.500 1
N1 N 0.000 0.500 0.000 1
```

Results
The calculation puts the offset from the most stable computed form at 1.042 eV per atom.

(12)
## BaLiTc2 (PBE)

Data for an optimized crystal structure of BaLiTc2.

```
data_BaLiTc2
_chemical_formula_sum 'Ba2 Li2 Tc4'
_space_group_name_H-M_alt 'C 1 2/m 1'
_space_group_IT_number 12
_space_group_name_Hall '-C 2y'
_cell_length_a 7.491
_cell_length_b 4.321
_cell_length_c 6.488
_cell_angle_alpha 90.00
_cell_angle_beta 112.52
_cell_angle_gamma 90.00
loop_
_atom_site_label
_atom_site_type_symbol
_atom_site_fract_x
_atom_site_fract_y
_atom_site_fract_z
_atom_site_occupancy
Ba1 Ba 0.000 0.000 0.000 1
Li1 Li 0.000 0.500 0.500 1
Tc1 Tc 0.179 0.000 0.536 1
```

Results
As for the energy of formation from the pure elements: 531 meV/atom. The calculation puts the offset from the most stable computed form at 0.159 eV per atom.

(13)
## MgAlZn11 (PBE)

Data for an optimized crystal structure of MgAlZn11.

```
data_MgAlZn11
_chemical_formula_sum 'Mg2 Al2 Zn22'
_space_group_name_H-M_alt 'C 1 2/m 1'
_space_group_IT_number 12
_space_group_name_Hall '-C 2y'
_cell_length_a 5.399
_cell_length_b 12.366
_cell_length_c 6.797
_cell_angle_alpha 90.00
_cell_angle_beta 113.25
_cell_angle_gamma 90.00
loop_
_atom_site_label
_atom_site_type_symbol
_atom_site_fract_x
_atom_site_fract_y
_atom_site_fract_z
_atom_site_occupancy
Mg1 Mg 0.000 0.000 0.000 1
Al1 Al 0.000 0.500 0.500 1
Zn1 Zn 0.000 0.000 0.500 1
Zn2 Zn 0.111 0.390 0.217 1
Zn3 Zn 0.171 0.175 0.348 1
Zn4 Zn 0.250 0.250 0.000 1
```

Results
As for the energy of formation from the pure elements: 12 meV/atom.

no.,volume (Å³ per atom),total magnetic moment (μB per atom)
1,34.36,0.000
2,15.30,0.000
3,21.12,0.000
4,10.47,1.527
5,22.57,0.873
6,31.42,0.000
7,19.84,0.000
8,38.08,0.000
9,20.25,1.289
10,19.33,0.726
11,26.57,1.199
12,24.25,0.000
13,16.03,0.000